# 1
# PBE TeBr, relaxed
data_TeBr
_space_group_name_H-M_alt 'P 4/m'
_space_group_IT_number 83
_cell_length_a 11.0385
_cell_length_b 11.0385
_cell_length_c 5.6495
_cell_angle_alpha 90.00
_cell_angle_beta 90.00
_cell_angle_gamma 90.00
loop_
_space_group_symop_operation_xyz
'x,y,z'
'-x,-y,-z'
'-y,x,z'
'y,-x,-z'
'-x,-y,z'
'x,y,-z'
'y,-x,z'
'-y,x,-z'
loop_
_atom_site_label
_atom_site_fract_x
_atom_site_fract_y
_atom_site_fract_z
_atom_site_occupancy
Te1 0.0192 0.1755 0.0000 1
Te2 0.2722 0.6358 0.5000 1
Br1 0.1543 0.4126 0.5000 1
Br2 0.2340 0.6589 0.0000 1
# - crystal system = tetragonal
# - V (A^3/atom) = 43.02
# - ΔE_f (raw) (eV/atom) = -0.1077
# - uncorrected energy (eV for the cell shown) = -40.24

---

# 2
# PBE YFe4B2, relaxed
data_YFe4B2
_space_group_name_H-M_alt 'C m m m'
_space_group_IT_number 65
_space_group_name_Hall '-C 2 2'
_cell_length_a 3.5327
_cell_length_b 12.6935
_cell_length_c 3.5307
_cell_angle_alpha 90.00
_cell_angle_beta 90.00
_cell_angle_gamma 90.00
loop_
_atom_site_label
_atom_site_fract_x
_atom_site_fract_y
_atom_site_fract_z
_atom_site_occupancy
Y1 0.0000 0.0000 0.0000 1
Fe1 0.0000 0.1862 0.5000 1
Fe2 0.0000 0.3107 0.0000 1
B1 0.0000 0.3975 0.5000 1
# - crystal system = orthorhombic
# - V (A^3/atom) = 11.31
# - formation enthalpy at 0 K (eV per formula unit) = -1.8
# - uncorrected energy (eV for the cell shown) = -110.92

---

What is the formula in the first record? TeBr